The following is a DFT calculation (PBE-GGA) of a relaxed structure of Na2CaZrF8.

The value obtained for the formation energy from raw total energies is -79.32 kcal/mol of atoms. Its density of states at the Fermi level is 0.0 states/eV/cell.

The space group is Pmmm (No. 47) and the conventional cell measures 3.7691, 5.5681 and 7.6963 Å, with angles of 90.00, 90.00 and 90.00 degrees. The inequivalent atoms are Na at (0.0000, 0.0000, 0.2331), Ca at (0.5000, 0.5000, 0.0000), Zr at (0.5000, 0.5000, 0.5000), F at (0.0000, 0.2590, 0.0000), F at (0.0000, 0.2883, 0.5000) and F at (0.5000, 0.2723, 0.2824).

The following is a DFT calculation (PBE-GGA) of a relaxed structure of GaP2CCl.

The value obtained for the formation energy from raw total energies is 18.86 kcal/mol of atoms. Its density of states at the Fermi level is 3.3 states/eV/cell.

The space group is P4/mmm (No. 123) and the conventional cell measures 3.8683, 3.8683 and 7.1974 Å, with angles of 90.00, 90.00 and 90.00 degrees. The inequivalent atoms are Ga at (0.0000, 0.0000, 0.0000), P at (0.0000, 0.5000, 0.5000), C at (0.5000, 0.5000, 0.5000) and Cl at (0.5000, 0.5000, 0.0000).

The following is a DFT calculation (PBE-GGA) of a relaxed structure of TiIr6Rh.

The formation energy comes out at -2.473 eV per formula unit. Its density of states at the Fermi level is 8.6 states/eV/cell.

The space group is P4/mmm (No. 123) and the conventional cell measures 5.4779, 5.4779 and 3.8783 Å, with angles of 90.00, 90.00 and 90.00 degrees. The inequivalent atoms are Ti at (0.0000, 0.0000, 0.0000), Ir at (0.0000, 0.5000, 0.0000), Ir at (0.2512, 0.2512, 0.5000) and Rh at (0.5000, 0.5000, 0.0000).

The following is a DFT calculation (PBE-GGA) of a relaxed structure of GeAs.

The formation energy comes out at 0.425 eV per formula unit. Its density of states at the Fermi level is 9.3 states/eV/cell.

The space group is F-43m (No. 216) and the conventional cell measures 6.0181, 6.0181 and 6.0181 Å, with angles of 90.00, 90.00 and 90.00 degrees. The inequivalent atoms are Ge at (0.0000, 0.0000, 0.0000) and As at (0.2500, 0.2500, 0.7500).

The following is a DFT calculation (PBE-GGA) of a relaxed structure of KLi2Mg2H7.

Its density of states at the Fermi level is 0.0 states/eV/cell. The total energy is -2.93 eV per atom.

The space group is C2/m (No. 12) and the conventional cell measures 5.6122, 5.6136 and 8.6439 Å, with angles of 90.00, 108.94 and 90.00 degrees. The inequivalent atoms are K at (0.0000, 0.0000, 0.0000), Li at (0.0000, 0.2498, 0.5000), Mg at (0.1201, 0.5000, 0.2383), H at (0.0000, 0.5000, 0.0000), H at (0.1267, 0.2502, 0.7539) and H at (0.2376, 0.5000, 0.4755).

The following is a DFT calculation (PBE-GGA) of a relaxed structure of Lu2CdIr.

The formation energy comes out at -2.435 eV per formula unit. Its density of states at the Fermi level is 8.6 states/eV/cell.

The space group is Fm-3m (No. 225) and the conventional cell measures 6.9728, 6.9728 and 6.9728 Å, with angles of 90.00, 90.00 and 90.00 degrees. The inequivalent atoms are Lu at (0.2500, 0.2500, 0.2500), Cd at (0.0000, 0.0000, 0.0000) and Ir at (0.0000, 0.0000, 0.5000).

The following is a DFT calculation (PBE-GGA) of a relaxed structure of Th2Si3GeRh4.

The value obtained for the formation energy from raw total energies is -23.95 kcal/mol of atoms. Its density of states at the Fermi level is 5.5 states/eV/cell.

The space group is P-4m2 (No. 115) and the conventional cell measures 4.1933, 4.1933 and 10.0363 Å, with angles of 90.00, 90.00 and 90.00 degrees. The inequivalent atoms are Th at (0.0000, 0.5000, 0.2471), Si at (0.0000, 0.0000, 0.0000), Si at (0.0000, 0.5000, 0.6287), Ge at (0.5000, 0.5000, 0.0000), Rh at (0.0000, 0.0000, 0.5000), Rh at (0.0000, 0.5000, 0.8686) and Rh at (0.5000, 0.5000, 0.5000).

The following is a DFT calculation (PBE-GGA) of a relaxed structure of Mn3Ir2.

The formation energy comes out at 0.939 eV per formula unit. Its density of states at the Fermi level is 5.9 states/eV/cell.

The space group is P-3m1 (No. 164) and the conventional cell measures 4.2197, 4.2197 and 5.1410 Å, with angles of 90.00, 90.00 and 120.00 degrees. The inequivalent atoms are Mn at (0.0000, 0.0000, 0.0000), Mn at (0.3333, 0.6667, 0.3620) and Ir at (0.3333, 0.6667, 0.8494).

The following is a DFT calculation (PBE-GGA) of a relaxed structure of Er2Mg3In4.

The formation energy comes out at -2.017 eV per formula unit. Its density of states at the Fermi level is 25.4 states/eV/cell.

The space group is Cmce (No. 64) and the conventional cell measures 6.3026, 16.9673 and 8.2870 Å, with angles of 90.00, 90.00 and 90.00 degrees. The inequivalent atoms are Er at (0.0000, 0.0993, 0.1022), Mg at (0.0000, 0.0000, 0.5000), Mg at (0.2500, 0.2351, 0.7500), In at (0.0000, 0.1697, 0.4737) and In at (0.2500, 0.0619, 0.7500).

The following is a DFT calculation (PBE-GGA) of a relaxed structure of NbCoI2.

The value obtained for the formation energy from raw total energies is 16.77 kcal/mol of atoms. Its density of states at the Fermi level is 21.0 states/eV/cell.

The space group is I-42d (No. 122) and the conventional cell measures 6.1860, 6.1860 and 11.5601 Å, with angles of 90.00, 90.00 and 90.00 degrees. The inequivalent atoms are Nb at (0.0000, 0.0000, 0.0000), Co at (0.0000, 0.0000, 0.5000) and I at (0.2101, 0.2500, 0.6250).

The following is a DFT calculation (PBE-GGA) of a relaxed structure of Mg6Ni2Pb.

The formation energy comes out at -0.883 eV per formula unit. Its density of states at the Fermi level is 19.0 states/eV/cell.

The space group is Immm (No. 71) and the conventional cell measures 8.4616, 8.9649 and 9.4807 Å, with angles of 90.00, 90.00 and 90.00 degrees. The inequivalent atoms are Mg at (0.0000, 0.1911, 0.1703), Mg at (0.1839, 0.2108, 0.5000), Mg at (0.2204, 0.5000, 0.2511), Ni at (0.0000, 0.0000, 0.3766), Ni at (0.1536, 0.0000, 0.0000), Pb at (0.0000, 0.5000, 0.0000) and Pb at (0.0000, 0.5000, 0.5000).

The following is a DFT calculation (PBE-GGA) of a relaxed structure of TbTlSn2.

The formation energy comes out at 0.847 eV per formula unit. Its density of states at the Fermi level is 10.9 states/eV/cell.

The space group is R-3m (No. 166, hexagonal axes) and the conventional cell measures 5.0137, 5.0137 and 24.1616 Å, with angles of 90.00, 90.00 and 120.00 degrees. The inequivalent atoms are Tb at (0.0000, 0.0000, 0.0000), Tl at (0.0000, 0.0000, 0.5000) and Sn at (0.0000, 0.0000, 0.3793).

The following is a DFT calculation (PBE-GGA) of a relaxed structure of WAuCl2.

The value obtained for the formation energy from raw total energies is 3.55 kcal/mol of atoms. Its density of states at the Fermi level is 3.0 states/eV/cell.

The space group is Cmmm (No. 65) and the conventional cell measures 2.8805, 5.5643 and 11.2914 Å, with angles of 90.00, 90.00 and 90.00 degrees. The inequivalent atoms are W at (0.0000, 0.0000, 0.0000), Au at (0.0000, 0.0000, 0.5000) and Cl at (0.0000, 0.5000, 0.1734).

The following is a DFT calculation (PBE-GGA) of a relaxed structure of NbTc2As.

The formation energy comes out at 0.969 eV per formula unit. Its density of states at the Fermi level is 14.2 states/eV/cell.

The space group is I-42d (No. 122) and the conventional cell measures 3.8315, 3.8315 and 18.4746 Å, with angles of 90.00, 90.00 and 90.00 degrees. The inequivalent atoms are Nb at (0.0000, 0.0000, 0.0000), Tc at (0.1998, 0.2500, 0.6250) and As at (0.0000, 0.0000, 0.5000).

The following is a DFT calculation (PBE-GGA) of a relaxed structure of SmTlAu2.

The formation energy comes out at -1.849 eV per formula unit. Its density of states at the Fermi level is 1.8 states/eV/cell.

The space group is P4/mmm (No. 123) and the conventional cell measures 4.8999, 4.8999 and 3.9452 Å, with angles of 90.00, 90.00 and 90.00 degrees. The inequivalent atoms are Sm at (0.0000, 0.0000, 0.0000), Tl at (0.5000, 0.5000, 0.0000) and Au at (0.0000, 0.5000, 0.5000).

The following is a DFT calculation (PBE-GGA) of a relaxed structure of LiCa2Pd2.

The formation energy comes out at -1.971 eV per formula unit. Its density of states at the Fermi level is 3.8 states/eV/cell.

The space group is P4/mbm (No. 127) and the conventional cell measures 8.3096, 8.3096 and 3.3431 Å, with angles of 90.00, 90.00 and 90.00 degrees. The inequivalent atoms are Li at (0.0000, 0.0000, 0.0000), Ca at (0.1487, 0.3513, 0.0000) and Pd at (0.1484, 0.6484, 0.5000).

The following is a DFT calculation (PBE-GGA) of a relaxed structure of Tb6DyTm4.

The formation energy comes out at 1.373 eV per formula unit. Its density of states at the Fermi level is 75.2 states/eV/cell.

The space group is Cmcm (No. 63) and the conventional cell measures 5.6531, 9.5728 and 25.4676 Å, with angles of 90.00, 90.00 and 90.00 degrees. The inequivalent atoms are Tb at (0.0000, 0.0000, 0.0000), Tb at (0.0000, 0.0241, 0.2500), Tb at (0.0000, 0.3121, 0.6028), Tb at (0.0000, 0.3569, 0.1815), Dy at (0.0000, 0.3106, 0.7500), Tm at (0.0000, 0.0257, 0.1220) and Tm at (0.0000, 0.3426, 0.0430).

The following is a DFT calculation (PBE-GGA) of a relaxed structure of Tl2SnAu.

The formation energy comes out at 0.461 eV per formula unit. Its density of states at the Fermi level is 13.6 states/eV/cell.

The space group is Fm-3m (No. 225) and the conventional cell measures 7.4898, 7.4898 and 7.4898 Å, with angles of 90.00, 90.00 and 90.00 degrees. The inequivalent atoms are Tl at (0.2500, 0.2500, 0.2500), Sn at (0.0000, 0.0000, 0.0000) and Au at (0.0000, 0.0000, 0.5000).

The following is a DFT calculation (PBE-GGA) of a relaxed structure of Hf4GaSe.

The value obtained for the formation energy from raw total energies is -7.09 kcal/mol of atoms. Its density of states at the Fermi level is 21.7 states/eV/cell.

The space group is Cmcm (No. 63) and the conventional cell measures 4.9059, 18.9215 and 5.5932 Å, with angles of 90.00, 90.00 and 90.00 degrees. The inequivalent atoms are Hf at (0.0000, 0.0650, 0.2500), Hf at (0.0000, 0.2056, 0.5009), Hf at (0.0000, 0.3741, 0.2500), Ga at (0.0000, 0.3476, 0.7500) and Se at (0.0000, 0.0749, 0.7500).

The following is a DFT calculation (PBE-GGA) of a relaxed structure of Ac8OsRh3I3.

The value obtained for the formation energy from raw total energies is -18.75 kcal/mol of atoms. Its density of states at the Fermi level is 10.5 states/eV/cell.

The space group is C2/m (No. 12) and the conventional cell measures 15.1361, 8.7344 and 10.0930 Å, with angles of 90.00, 120.03 and 90.00 degrees. The inequivalent atoms are Ac at (0.0210, 0.2452, 0.3187), Ac at (0.2243, 0.0000, 0.6814), Ac at (0.2277, 0.5000, 0.6821), Os at (0.0000, 0.0000, 0.5000), Rh at (0.0000, 0.5000, 0.5000), Rh at (0.2500, 0.2500, 0.5000), I at (0.0000, 0.0000, 0.0000) and I at (0.2500, 0.2500, 0.0000).